1.
VASP calculation (PBE-GGA) on crystalline NaNdHg3Se4 at its relaxed geometry.

Results
As for the symmetry: No. 215.

Cell lengths 6.810, 6.810, 6.810 Å; angles 90.00, 90.00, 90.00 degrees
Sites, in units of the cell vectors:
Se 0.739 0.261 0.739
Se 0.261 0.739 0.739
Se 0.261 0.261 0.261
Se 0.739 0.739 0.261
Hg 0.000 0.500 0.500
Hg 0.500 0.500 0.000
Hg 0.500 0.000 0.500
Na 0.000 0.000 0.000
Nd 0.500 0.500 0.500



2.
VASP calculation (PBE-GGA) on crystalline LiTlCoPt at its relaxed geometry.

Results
As for the symmetry: No. 216. The value obtained for the offset from the most stable computed form is 0.0 meV/atom.

Cell lengths 4.387, 4.387, 4.387 Å; angles 60.00, 60.00, 60.00 degrees
Sites, in units of the cell vectors:
Pt 0.500 0.500 0.500
Li 0.250 0.250 0.250
Co 0.750 0.750 0.750
Tl 0.000 0.000 0.000



3.
VASP calculation (PBE-GGA) on crystalline SrInPd3Au at its relaxed geometry.

Results
As for the symmetry: No. 187.

Cell lengths 5.783, 5.783, 4.346 Å; angles 90.00, 90.00, 120.00 degrees
Sites, in units of the cell vectors:
Pd 0.666 0.833 0.500
Pd 0.167 0.833 0.500
Pd 0.167 0.334 0.500
Au 0.000 0.000 0.000
In 0.333 0.667 0.000
Sr 0.667 0.333 0.000



4.
VASP calculation (PBE-GGA) on crystalline SiGeIr at its relaxed geometry.

Results
As for the symmetry: No. 216. The value obtained for the offset from the most stable computed form is 0.0 meV/atom.

Cell lengths 4.142, 4.142, 4.142 Å; angles 60.00, 60.00, 60.00 degrees
Sites, in units of the cell vectors:
Ir 0.000 0.000 0.000
Si 0.750 0.750 0.750
Ge 0.250 0.250 0.250



5.
VASP calculation (PBE-GGA) on crystalline GdFePb at its relaxed geometry.

Results
As for the symmetry: No. 189.

Cell lengths 7.666, 7.666, 3.845 Å; angles 90.00, 90.00, 120.00 degrees
Sites, in units of the cell vectors:
Gd 0.598 0.000 0.500
Gd 0.000 0.598 0.500
Gd 0.402 0.402 0.500
Fe 0.000 0.000 0.500
Fe 0.667 0.333 0.000
Fe 0.333 0.667 0.000
Pb 0.000 0.266 0.000
Pb 0.266 0.000 0.000
Pb 0.734 0.734 0.000



6.
VASP calculation (PBE-GGA) on crystalline H10OsC2S2Br6N4 at its relaxed geometry.

Results
As for the symmetry: No. 2.

Cell lengths 7.285, 7.543, 8.278 Å; angles 80.67, 87.97, 62.77 degrees
Sites, in units of the cell vectors:
H 0.848 0.397 0.864
H 0.089 0.737 0.662
H 0.911 0.263 0.338
H 0.711 0.496 0.367
H 0.521 0.731 0.126
H 0.152 0.603 0.136
H 0.602 0.667 0.932
H 0.479 0.269 0.874
H 0.398 0.333 0.068
H 0.289 0.504 0.633
N 0.794 0.399 0.288
N 0.614 0.626 0.057
N 0.386 0.374 0.943
N 0.206 0.601 0.712
Br 0.706 0.634 0.620
Br 0.731 0.090 0.651
Br 0.294 0.366 0.380
Br 0.726 0.950 0.263
Br 0.269 0.910 0.349
Br 0.274 0.050 0.737
Os 0.500 0.000 0.500
C 0.235 0.550 0.873
C 0.765 0.450 0.127
S 0.068 0.726 0.990
S 0.932 0.274 0.010



no.,calculated volume (Å³ per atom),E_tot (eV per atom)
1,35.09,-2.94
2,14.92,-4.38
3,20.98,-4.45
4,16.74,-6.64
5,21.75,-5.59
6,15.95,-4.86